[1]
MnTl2Tc | PBE-GGA | optimized geometry

Cell: 4.9290 4.9290 5.3420 Å, 79.03 79.03 37.72°
Each line ends with the local moment (μB).
Fractional positions:
Mn  0.2500  0.2500  0.2500  3.72
Tc  0.7500  0.7500  0.7500  -0.66
Tl  0.0026  0.0026  0.9960  -0.03
Tl  0.4974  0.4974  0.5040  -0.03

Energy relative to the elements: 68 kJ per mole of atoms
E_tot: -21.5 eV for the cell shown
Total moment: 3.08 Bohr magnetons per cell
Calculated volume: 19.45 Å³ per atom

[2]
MnTlTc2 | PBE-GGA | optimized geometry

Cell: 7.2007 7.2007 5.7285 Å, 51.06 51.06 90.00°
Fractional positions:
Tl  0.0000  0.0000  0.0000
Tl  0.7500  0.2500  0.5000
Mn  0.5000  0.5000  0.0000
Mn  0.2500  0.7500  0.5000
Tc  0.5543  0.1250  0.2500
Tc  0.1957  0.6250  0.2500
Tc  0.3750  0.4457  0.7500
Tc  0.8750  0.8043  0.7500

Energy relative to the elements: 78 kJ per mole of atoms
E_tot: -58.1 eV for the cell shown
Total moment: 0.00 Bohr magnetons per cell
Calculated volume: 17.01 Å³ per atom

[3]
MnTlTc2 | PBE-GGA | optimized geometry

Cell: 2.8311 2.8311 7.7640 Å, 90.00 90.00 90.03°
Fractional positions:
Mn  0.5000  0.5000  0.7500
Tc  0.0000  0.0000  0.9566
Tc  0.0000  0.0000  0.5434
Tl  0.5000  0.5000  0.2500

Energy relative to the elements: 47 kJ per mole of atoms
E_tot: -30.3 eV for the cell shown
Total moment: 0.03 Bohr magnetons per cell
Calculated volume: 15.56 Å³ per atom